An optimized crystal structure of RbLiCd2Rh, computed with PBE.

Geometry as POSCAR:
```
RbLiCd2Rh
1.0
5.313 0.000 0.000
0.000 5.313 0.000
0.000 0.000 4.987
Cd Li Rh Rb
2 1 1 1
direct
0.500 0.000 0.000
0.000 0.500 0.000
0.000 0.000 0.500
0.000 0.000 0.000
0.500 0.500 0.500
```

Results
E_tot = -2.442 eV/atom


An optimized crystal structure of LiTlSi, computed with PBE.

Geometry as POSCAR:
```
LiTlSi
1.0
-0.108 -3.564 1.004
2.201 1.240 4.626
-6.832 0.784 2.026
Si Tl Li
2 2 2
direct
0.453 0.778 0.507
0.953 0.510 0.559
0.452 0.189 0.249
0.452 0.654 0.899
0.953 0.680 0.228
0.954 0.077 0.704
```

Results
E_tot = -3.212 eV/atom


An optimized crystal structure of TeMoS2N, computed with PBE.

Geometry as POSCAR:
```
TeMoS2N
1.0
-2.475 -4.168 -0.669
2.055 -1.867 4.030
-2.876 1.371 2.102
Te S Mo N
1 2 1 1
direct
0.500 0.500 0.500
0.000 0.500 0.000
0.500 0.000 0.000
0.000 0.000 0.000
0.000 0.000 0.500
```

Results
ΔE to the lowest computed polymorph = 0 meV/atom


An optimized crystal structure of LaPdO4, computed with PBE.

Geometry as POSCAR:
```
LaPdO4
1.0
6.073 -0.724 0.000
-2.332 6.911 0.000
-1.870 -3.093 4.596
O Pd La
8 2 2
direct
0.161 0.159 0.290
0.100 0.701 0.998
0.371 0.869 0.710
0.839 0.841 0.710
0.601 0.702 0.002
0.900 0.299 0.002
0.629 0.131 0.290
0.399 0.298 0.998
0.245 0.995 0.989
0.755 0.005 0.011
0.385 0.635 0.269
0.615 0.365 0.731
```

Results
ΔE to the lowest computed polymorph = 0 meV/atom